The following is a GGA-PBE calculation of crystalline HgPtAu2 at its relaxed geometry, from the Alexandria database.

Calculated values
For the final energy, the calculation gives -3.10 eV per atom. The calculated density comes out at 17.681 Mg/m³. The value obtained for the size of the total moment is 0.00 μB per cell. The calculation puts the formation enthalpy at 0 K at 0.1223 eV per atom.

Lattice parameters (Å, degrees): 2.9020 2.9020 10.1329 90.00 90.00 119.66
Element x y z (fractional)
Au: 0.0000 0.0000 0.9875
Au: 0.0000 0.0000 0.5125
Pt: 0.5000 0.5000 0.7500
Hg: 0.5000 0.5000 0.2500

***

The following is a GGA-PBE calculation of crystalline UAuS2 at its relaxed geometry, from the Alexandria database.

Calculated values
For the final energy, the calculation gives -6.50 eV per atom. The calculated density comes out at 7.784 Mg/m³. For the uncorrected formation energy, the calculation gives -0.80 eV/atom. The value obtained for the size of the total moment is 3.02 μB per cell.

Lattice parameters (Å, degrees): 4.0303 4.0303 7.9190 75.26 75.26 60.00
Each line ends with the local moment (μB).
Element x y z (fractional)
S: 0.1021 0.1021 0.6938  -0.06
S: 0.8979 0.8979 0.3062  -0.06
Au: 0.0000 0.0000 0.0000  0.05
U: 0.5000 0.5000 0.5000  2.61

***

The following is a GGA-PBE calculation of crystalline La3HgO at its relaxed geometry, from the Alexandria database.

Calculated values
For the final energy, the calculation gives -5.29 eV per atom. The calculated density comes out at 7.023 Mg/m³. For the uncorrected formation energy, the calculation gives -1.28 eV/atom. The value obtained for the size of the total moment is 0.00 μB per cell.

Lattice parameters (Å, degrees): 7.1203 7.0981 7.2799 69.84 99.87 119.88
Element x y z (fractional)
La: 0.9562 0.6146 0.9164
La: 0.1084 0.6899 0.4163
La: 0.5454 0.1464 0.6463
La: 0.9514 0.1325 0.3676
La: 0.1121 0.2140 0.8675
La: 0.5187 0.6326 0.1466
O: 0.9053 0.2881 0.5827
O: 0.1586 0.4156 0.0834
Hg: 0.5154 0.1198 0.1105
Hg: 0.5487 0.6358 0.6113

***

The following is a GGA-PBE calculation of crystalline LaI at its relaxed geometry, from the Alexandria database.

Calculated values
For the final energy, the calculation gives -3.68 eV per atom. The calculated density comes out at 4.563 Mg/m³. For the uncorrected formation energy, the calculation gives -0.44 eV/atom. The value obtained for the size of the total moment is 0.05 μB per cell.

Lattice parameters (Å, degrees): 7.2868 7.2868 7.2868 90.00 90.00 90.00
Element x y z (fractional)
La: 0.5000 0.5000 0.0000
La: 0.0000 0.5000 0.5000
La: 0.0000 0.0000 0.0000
La: 0.5000 0.0000 0.5000
I: 0.7500 0.2500 0.7500
I: 0.2500 0.2500 0.2500
I: 0.2500 0.7500 0.7500
I: 0.7500 0.7500 0.2500

***

The following is a GGA-PBE calculation of crystalline YTl2Cu2Se4 at its relaxed geometry, from the Alexandria database.

Calculated values
For the final energy, the calculation gives -4.45 eV per atom. The calculated density comes out at 6.857 Mg/m³. For the uncorrected formation energy, the calculation gives -0.75 eV/atom. The value obtained for the size of the total moment is 0.00 μB per cell.

Lattice parameters (Å, degrees): 3.9964 8.0401 7.7271 107.60 104.99 90.00
Element x y z (fractional)
Y: 0.0000 0.0000 0.0000
Cu: 0.3168 0.0098 0.6336
Cu: 0.6832 0.9902 0.3664
Se: 0.7979 0.8206 0.5957
Se: 0.5255 0.7641 0.0510
Se: 0.2021 0.1794 0.4043
Se: 0.4745 0.2359 0.9490
Tl: 0.1323 0.5587 0.2647
Tl: 0.8677 0.4413 0.7353

***

The following is a GGA-PBE calculation of crystalline DySc4Pb at its relaxed geometry, from the Alexandria database.

Calculated values
For the final energy, the calculation gives -5.73 eV per atom. The calculated density comes out at 5.877 Mg/m³. The value obtained for the size of the total moment is 0.00 μB per cell. The calculation puts the formation enthalpy at 0 K at -0.1265 eV per atom.

Lattice parameters (Å, degrees): 3.4545 9.5042 9.6153 90.00 100.35 90.00
Element x y z (fractional)
Dy: 0.8990 0.7500 0.7979
Dy: 0.1010 0.2500 0.2021
Sc: 0.3294 0.0292 0.6588
Sc: 0.5000 0.0000 0.0000
Sc: 0.0769 0.7500 0.1538
Sc: 0.5000 0.5000 0.0000
Sc: 0.3294 0.4708 0.6588
Sc: 0.6706 0.5292 0.3412
Sc: 0.6706 0.9708 0.3412
Sc: 0.9231 0.2500 0.8462
Pb: 0.2491 0.7500 0.4982
Pb: 0.7509 0.2500 0.5018

***

The following is a GGA-PBE calculation of crystalline BaCr2Cu at its relaxed geometry, from the Alexandria database.

Calculated values
For the final energy, the calculation gives -5.30 eV per atom. The calculated density comes out at 5.317 Mg/m³. The value obtained for the size of the total moment is 9.19 μB per cell. The calculation puts the formation enthalpy at 0 K at 1.0147 eV per atom.

Lattice parameters (Å, degrees): 5.6084 5.6084 5.6084 132.10 132.10 70.08
Each line ends with the local moment (μB).
Element x y z (fractional)
Cr: 0.0000 0.0000 0.0000  3.92
Cr: 0.5000 0.5000 0.0000  3.92
Ba: 0.7500 0.2500 0.5000  0.14
Cu: 0.2500 0.7500 0.5000  0.06

***

The following is a GGA-PBE calculation of crystalline Mg8Pd at its relaxed geometry, from the Alexandria database.

Calculated values
For the final energy, the calculation gives -2.13 eV per atom. The calculated density comes out at 2.661 Mg/m³. The value obtained for the size of the total moment is 0.00 μB per cell. The calculation puts the formation enthalpy at 0 K at -0.1392 eV per atom.

Lattice parameters (Å, degrees): 4.4999 6.8399 6.8399 83.79 70.80 70.80
Element x y z (fractional)
Pd: 0.0000 0.0000 0.0000
Mg: 0.6588 0.6824 0.0000
Mg: 0.6783 0.3217 0.3217
Mg: 0.3412 0.3176 0.0000
Mg: 0.3412 0.0000 0.3176
Mg: 0.0000 0.3217 0.6783
Mg: 0.0000 0.6783 0.3217
Mg: 0.6588 0.0000 0.6824
Mg: 0.3217 0.6783 0.6783

***

The following is a GGA-PBE calculation of crystalline Nd2ScCd5 at its relaxed geometry, from the Alexandria database.

Calculated values
For the final energy, the calculation gives -2.83 eV per atom. The calculated density comes out at 7.478 Mg/m³. The value obtained for the size of the total moment is 0.29 μB per cell. The calculation puts the formation enthalpy at 0 K at -0.2702 eV per atom.

Lattice parameters (Å, degrees): 5.0785 5.0785 8.5055 107.37 107.37 90.00
Each line ends with the local moment (μB).
Element x y z (fractional)
Cd: 0.8900 0.3900 0.7799  0.00
Cd: 0.5000 0.5000 0.0000  0.00
Cd: 0.3900 0.8900 0.7799  0.00
Cd: 0.6100 0.1100 0.2201  0.00
Cd: 0.1100 0.6100 0.2201  0.00
Nd: 0.7399 0.7399 0.4797  0.09
Nd: 0.2601 0.2601 0.5203  0.09
Sc: 0.0000 0.0000 0.0000  -0.01

***

The following is a GGA-PBE calculation of crystalline Er6GaTe2 at its relaxed geometry, from the Alexandria database.

Calculated values
For the final energy, the calculation gives -4.43 eV per atom. The calculated density comes out at 7.371 Mg/m³. For the uncorrected formation energy, the calculation gives -0.35 eV/atom. The value obtained for the size of the total moment is 0.00 μB per cell.

Lattice parameters (Å, degrees): 6.8743 6.8743 12.6668 90.00 90.00 90.00
Element x y z (fractional)
Er: 0.2798 0.2798 0.0000
Er: 0.2202 0.7798 0.5000
Er: 0.6980 0.6980 0.6601
Er: 0.7202 0.7202 0.0000
Er: 0.7798 0.2202 0.5000
Er: 0.1980 0.8020 0.1601
Er: 0.8020 0.1980 0.1601
Er: 0.3020 0.3020 0.6601
Er: 0.6980 0.6980 0.3399
Er: 0.3020 0.3020 0.3399
Er: 0.1980 0.8020 0.8399
Er: 0.8020 0.1980 0.8399
Ga: 0.0000 0.0000 0.0000
Ga: 0.5000 0.5000 0.5000
Te: 0.0000 0.0000 0.6624
Te: 0.5000 0.5000 0.8376
Te: 0.5000 0.5000 0.1624
Te: 0.0000 0.0000 0.3376

***

The following is a GGA-PBE calculation of crystalline SrSe2IBr at its relaxed geometry, from the Alexandria database.

Calculated values
For the final energy, the calculation gives -2.58 eV per atom. The calculated density comes out at 3.351 Mg/m³. For the uncorrected formation energy, the calculation gives -0.21 eV/atom. The value obtained for the size of the total moment is 4.07 μB per cell.

Lattice parameters (Å, degrees): 6.2343 6.2343 5.7673 90.00 90.00 90.00
Each line ends with the local moment (μB).
Element x y z (fractional)
I: 0.5000 0.5000 0.5000  0.57
Se: 0.5000 0.0000 0.0000  0.90
Se: 0.0000 0.5000 0.0000  0.90
Br: 0.0000 0.0000 0.5000  0.11
Sr: 0.0000 0.0000 0.0000  -0.01

***

The following is a GGA-PBE calculation of crystalline PaTl3Sn2S6 at its relaxed geometry, from the Alexandria database.

Calculated values
For the final energy, the calculation gives -4.91 eV per atom. The calculated density comes out at 6.347 Mg/m³. For the uncorrected formation energy, the calculation gives -0.80 eV/atom. The value obtained for the size of the total moment is 0.00 μB per cell.

Lattice parameters (Å, degrees): 7.2353 7.2353 7.6998 98.90 98.90 119.64
Element x y z (fractional)
Sn: 0.6672 0.3328 0.0000
Sn: 0.3328 0.6672 0.0000
S: 0.2361 0.2361 0.7928
S: 0.6268 0.9348 0.8016
S: 0.9348 0.6268 0.8016
S: 0.0652 0.3732 0.1984
S: 0.7639 0.7639 0.2072
S: 0.3732 0.0652 0.1984
Pa: 0.0000 0.0000 0.0000
Tl: 0.5000 0.5000 0.5000
Tl: 0.8305 0.1695 0.5000
Tl: 0.1695 0.8305 0.5000

***

The following is a GGA-PBE calculation of crystalline LaNd7Sm3 at its relaxed geometry, from the Alexandria database.

Calculated values
For the final energy, the calculation gives -4.57 eV per atom. The calculated density comes out at 6.656 Mg/m³. The value obtained for the size of the total moment is 0.00 μB per cell. The calculation puts the formation enthalpy at 0 K at 0.2014 eV per atom.

Lattice parameters (Å, degrees): 6.5263 7.8836 7.8836 81.43 85.66 85.66
Element x y z (fractional)
Nd: 0.0000 0.5000 0.5000
Nd: 0.7396 0.9250 0.5749
Nd: 0.2604 0.0750 0.4251
Nd: 0.2604 0.4251 0.0750
Nd: 0.2103 0.7645 0.7645
Nd: 0.7897 0.2355 0.2355
Nd: 0.7396 0.5749 0.9250
Sm: 0.5000 0.0000 0.0000
Sm: 0.0000 0.8287 0.1713
Sm: 0.0000 0.1713 0.8287
La: 0.5000 0.5000 0.5000

***

The following is a GGA-PBE calculation of crystalline Pr3Sm6Mg at its relaxed geometry, from the Alexandria database.

Calculated values
For the final energy, the calculation gives -4.41 eV per atom. The calculated density comes out at 6.672 Mg/m³. The value obtained for the size of the total moment is 0.00 μB per cell. The calculation puts the formation enthalpy at 0 K at 0.0187 eV per atom.

Lattice parameters (Å, degrees): 5.1699 11.3172 11.4798 91.11 90.00 90.00
Element x y z (fractional)
Sm: 0.7500 0.3427 0.2986
Sm: 0.2500 0.6573 0.7014
Sm: 0.7500 0.8495 0.8091
Sm: 0.2500 0.1505 0.1909
Sm: 0.7500 0.5524 0.8984
Sm: 0.2500 0.4476 0.1016
Sm: 0.7500 0.7611 0.5049
Sm: 0.7500 0.9539 0.1056
Sm: 0.2500 0.8586 0.3116
Sm: 0.2500 0.2389 0.4951
Sm: 0.2500 0.0461 0.8944
Sm: 0.7500 0.1414 0.6884
Pr: 0.7500 0.4485 0.5973
Pr: 0.7500 0.6533 0.2069
Pr: 0.2500 0.7536 0.0068
Pr: 0.7500 0.2464 0.9932
Pr: 0.2500 0.3467 0.7931
Pr: 0.2500 0.5515 0.4027
Mg: 0.2500 0.9497 0.6023
Mg: 0.7500 0.0503 0.3977

***

The following is a GGA-PBE calculation of crystalline MoOs2Rh at its relaxed geometry, from the Alexandria database.

Calculated values
For the final energy, the calculation gives -10.15 eV per atom. The calculated density comes out at 16.439 Mg/m³. The value obtained for the size of the total moment is 0.00 μB per cell. The calculation puts the formation enthalpy at 0 K at 0.0067 eV per atom.

Lattice parameters (Å, degrees): 4.7350 4.7350 4.7350 131.38 131.37 71.22
Element x y z (fractional)
Mo: 0.2500 0.7500 0.5000
Rh: 0.7500 0.2500 0.5000
Os: 0.5000 0.5000 0.0000
Os: 0.0000 0.0000 0.0000

***

The following is a GGA-PBE calculation of crystalline Sm6Te3Au at its relaxed geometry, from the Alexandria database.

Calculated values
For the final energy, the calculation gives -5.00 eV per atom. The calculated density comes out at 7.751 Mg/m³. For the uncorrected formation energy, the calculation gives -0.90 eV/atom. The value obtained for the size of the total moment is 0.59 μB per cell.

Lattice parameters (Å, degrees): 4.1463 12.6928 13.1706 113.64 90.00 90.00
Each line ends with the local moment (μB).
Element x y z (fractional)
Au: 0.2500 0.9193 0.3010  0.00
Au: 0.7500 0.0807 0.6990  0.00
Sm: 0.2500 0.4997 0.3851  0.04
Sm: 0.7500 0.3559 0.0000  0.00
Sm: 0.2500 0.6441 0.0000  0.00
Sm: 0.2500 0.9059 0.5511  0.01
Sm: 0.7500 0.0941 0.4489  0.01
Sm: 0.7500 0.5003 0.6149  0.04
Sm: 0.7500 0.8062 0.7493  0.07
Sm: 0.7500 0.9318 0.1340  0.01
Sm: 0.2500 0.2691 0.7293  0.00
Sm: 0.7500 0.7309 0.2707  0.00
Sm: 0.2500 0.1938 0.2507  0.07
Sm: 0.2500 0.0682 0.8660  0.01
Te: 0.7500 0.4748 0.8349  0.00
Te: 0.7500 0.6925 0.4941  0.00
Te: 0.2500 0.5252 0.1651  0.00
Te: 0.2500 0.3075 0.5059  0.00
Te: 0.7500 0.1490 0.0649  0.00
Te: 0.2500 0.8510 0.9351  0.00

***

The following is a GGA-PBE calculation of crystalline Rb8Na2Li at its relaxed geometry, from the Alexandria database.

Calculated values
For the final energy, the calculation gives -1.05 eV per atom. The calculated density comes out at 1.528 Mg/m³. The value obtained for the size of the total moment is 0.00 μB per cell. The calculation puts the formation enthalpy at 0 K at 0.0678 eV per atom.

Lattice parameters (Å, degrees): 6.9546 11.6096 12.0052 118.92 106.84 90.00
Element x y z (fractional)
Rb: 0.0000 0.3095 0.0000
Rb: 0.6538 0.8744 0.3075
Rb: 0.0000 0.6905 0.0000
Rb: 0.3462 0.5669 0.6925
Rb: 0.8589 0.8589 0.7177
Rb: 0.3462 0.1256 0.6925
Rb: 0.1411 0.1411 0.2823
Rb: 0.6538 0.4331 0.3075
Li: 0.5000 0.0000 0.0000
Na: 0.1990 0.6990 0.3980
Na: 0.8010 0.3010 0.6020

***

The following is a GGA-PBE calculation of crystalline Pm3TlSCl at its relaxed geometry, from the Alexandria database.

Calculated values
For the final energy, the calculation gives -5.02 eV per atom. The calculated density comes out at 6.794 Mg/m³. For the uncorrected formation energy, the calculation gives -1.26 eV/atom. The value obtained for the size of the total moment is 0.00 μB per cell.

Lattice parameters (Å, degrees): 3.9795 8.7894 11.3997 119.93 90.00 90.00
Element x y z (fractional)
Pm: 0.7500 0.5125 0.1564
Pm: 0.2500 0.0822 0.9014
Pm: 0.2500 0.4875 0.8436
Pm: 0.7500 0.9178 0.0986
Pm: 0.2500 0.6787 0.5052
Pm: 0.7500 0.3213 0.4948
Tl: 0.2500 0.2798 0.2424
Tl: 0.7500 0.7202 0.7576
Cl: 0.7500 0.8222 0.4188
Cl: 0.2500 0.1778 0.5812
S: 0.7500 0.2826 0.8743
S: 0.2500 0.7174 0.1257